Record 1
VASP calculation (GGA-PBE) on a relaxed Tb8YEr6 crystal.

Cell lengths 8.992, 8.992, 8.597 Å; angles 58.47, 58.47, 60.00 degrees
Positions (direct):
Tb1 0.280 0.890 0.575
Tb2 0.577 0.577 0.270
Tb3 0.745 0.720 0.425
Tb4 0.255 0.280 0.575
Tb5 0.720 0.110 0.425
Tb6 0.890 0.255 0.575
Tb7 0.423 0.423 0.730
Tb8 0.110 0.745 0.425
Er1 0.460 0.895 0.880
Er2 0.540 0.105 0.120
Er3 0.105 0.236 0.120
Er4 0.236 0.540 0.120
Er5 0.764 0.460 0.880
Er6 0.895 0.764 0.880
Y1 0.000 0.000 0.000

Output
Relative energy among the computed polymorphs (eV per atom): 0.000
Energy of formation from the pure elements (eV/atom): 0.133
D(E_F) (states/eV per cell): 23.92
Final energy (eV per atom): -4.593

=====

Record 2
VASP calculation (GGA-PBE) on a relaxed Tl5IF8 crystal.

Cell lengths 7.622, 7.622, 7.622 Å; angles 97.20, 115.93, 115.93 degrees
Positions (direct):
F1 0.196 0.693 0.002
F2 0.274 0.336 0.672
F3 0.804 0.806 0.497
F4 0.664 0.328 0.602
F5 0.726 0.398 0.062
F6 0.309 0.503 0.307
F7 0.336 0.938 0.664
F8 0.691 0.998 0.194
Tl1 0.706 0.623 0.841
Tl2 0.294 0.136 0.917
Tl3 0.218 0.083 0.377
Tl4 0.782 0.159 0.864
Tl5 0.000 0.500 0.500
I1 0.500 0.750 0.250

Output
D(E_F) (states/eV per cell): 0.00
Final energy (eV per atom): -3.722

=====

Record 3
VASP calculation (GGA-PBE) on a relaxed HoGa3Cu crystal.

Cell lengths 4.083, 4.081, 6.105 Å; angles 70.49, 70.49, 90.00 degrees
Positions (direct):
Ho1 0.398 0.201 0.910
Ga1 0.645 0.949 0.415
Ga2 0.145 0.449 0.415
Ga3 0.801 0.604 0.103
Cu1 0.019 0.822 0.668

Output
Relative energy among the computed polymorphs (eV per atom): 0.000
Energy of formation from the pure elements (eV/atom): -0.463
D(E_F) (states/eV per cell): 1.53
Final energy (eV per atom): -4.014

=====

Record 4
VASP calculation (GGA-PBE) on a relaxed BaScTc2 crystal.

Cell lengths 4.038, 3.183, 7.980 Å; angles 77.53, 90.00, 90.00 degrees
Positions (direct):
Tc1 0.000 0.006 0.041
Tc2 0.500 0.268 0.151
Ba1 0.000 0.510 0.456
Sc1 0.500 0.715 0.852

Output
Relative energy among the computed polymorphs (eV per atom): 0.136
Energy of formation from the pure elements (eV/atom): 0.370
D(E_F) (states/eV per cell): 4.75
Final energy (eV per atom): -6.877

=====

Record 5
VASP calculation (GGA-PBE) on a relaxed AcCd6Rh4 crystal.

Cell lengths 7.086, 7.086, 7.086 Å; angles 88.44, 120.90, 120.90 degrees
Positions (direct):
Ac1 0.000 0.000 0.000
Cd1 0.616 0.101 0.101
Cd2 0.500 0.000 0.500
Cd3 0.384 0.485 0.485
Cd4 0.000 0.899 0.515
Cd5 0.000 0.515 0.899
Cd6 0.500 0.500 0.000
Rh1 0.000 0.268 0.591
Rh2 0.000 0.591 0.268
Rh3 0.324 0.732 0.732
Rh4 0.676 0.409 0.409

Output
Energy of formation from the pure elements (eV/atom): -0.106
D(E_F) (states/eV per cell): 9.35
Final energy (eV per atom): -3.652

=====

Record 6
VASP calculation (GGA-PBE) on a relaxed CuTcRh2 crystal.

Cell lengths 4.310, 4.310, 4.310 Å; angles 60.00, 60.00, 60.00 degrees
Last column: magnetic moment on the atom in μB.
Positions (direct):
Rh1 0.750 0.750 0.750  0.35
Rh2 0.250 0.250 0.250  0.35
Cu1 0.000 0.000 0.000  0.00
Tc1 0.500 0.500 0.500  1.26

Output
Relative energy among the computed polymorphs (eV per atom): 0.257
Energy of formation from the pure elements (eV/atom): 0.191
D(E_F) (states/eV per cell): 4.09
Final energy (eV per atom): -7.101

=====

Record 7
VASP calculation (GGA-PBE) on a relaxed CdReO3 crystal.

Cell lengths 4.072, 4.072, 4.072 Å; angles 90.00, 90.00, 90.00 degrees
Last column: magnetic moment on the atom in μB.
Positions (direct):
Re1 0.500 0.500 0.500  3.67
O1 0.000 0.500 0.000  -0.05
O2 0.000 0.000 0.500  0.03
O3 0.500 0.000 0.000  -0.02
Cd1 0.000 0.000 0.000  -0.02

Output
D(E_F) (states/eV per cell): 5.30
Final energy (eV per atom): -4.705

=====

Record 8
VASP calculation (GGA-PBE) on a relaxed SmBeCuGe2 crystal.

Cell lengths 4.059, 4.059, 5.876 Å; angles 110.21, 110.21, 90.00 degrees
Positions (direct):
Ge1 0.624 0.624 0.248
Ge2 0.376 0.376 0.752
Be1 0.750 0.250 0.500
Cu1 0.250 0.750 0.500
Sm1 0.000 0.000 0.000

Output
Energy of formation from the pure elements (eV/atom): -0.423
D(E_F) (states/eV per cell): 1.93
Final energy (eV per atom): -4.779